[1]
Below is crystalline Tb6GaCo at its relaxed geometry, with properties calculated at the PBE-GGA level.

Cell and atoms, written as POSCAR:
```
Tb6GaCo
1.0
7.204 0.000 0.000
0.000 10.431 0.000
-1.654 0.000 6.265
Tb Ga Co
12 2 2
Cartesian
0.830 1.862 1.615 Tb
0.830 8.568 1.615 Tb
1.339 5.215 1.139 Tb
0.609 0.000 5.126 Tb
1.118 3.353 4.651 Tb
1.118 7.078 4.651 Tb
4.432 3.353 1.615 Tb
4.432 7.078 1.615 Tb
4.940 0.000 1.139 Tb
4.211 5.215 5.126 Tb
4.719 1.862 4.651 Tb
4.719 8.568 4.651 Tb
-0.827 5.215 3.133 Ga
2.775 0.000 3.133 Ga
0.000 0.000 0.000 Co
3.602 5.215 0.000 Co
```

Summary:
* mass density: 7.63 g/cm³
* SG: C2/m, No. 12
* crystal system: monoclinic
* energy: -4.77 eV/atom

***

[2]
Below is crystalline LiSiAs at its relaxed geometry, with properties calculated at the PBE-GGA level.

Cell and atoms, written as POSCAR:
```
LiSiAs
1.0
2.837 0.000 0.000
0.000 4.345 0.000
0.000 0.000 8.332
Li Si As
2 2 2
Cartesian
0.000 0.000 0.000 Li
1.419 2.172 4.166 Li
0.000 0.000 2.909 Si
1.419 2.172 7.075 Si
0.000 0.000 5.318 As
1.419 2.172 1.152 As
```

Summary:
* energy relative to the elements, uncorrected: 4 kJ/mol of atoms
* mass density: 3.55 g/cm³
* offset from the most stable computed form: 256 meV/atom
* SG: Imm2, No. 44
* crystal system: orthorhombic
* energy: -3.95 eV/atom

***

[3]
Below is crystalline CaTaTe2 at its relaxed geometry, with properties calculated at the PBE-GGA level.

Cell and atoms, written as POSCAR:
```
CaTaTe2
1.0
3.922 0.000 0.000
0.000 3.922 0.000
0.000 0.000 7.045
Ca Ta Te
1 1 2
Cartesian
0.000 0.000 0.000 Ca
1.961 1.961 1.993 Ta
0.000 0.000 3.083 Te
1.961 1.961 6.141 Te
```

Summary:
* energy relative to the elements, uncorrected: -30 kJ/mol of atoms
* mass density: 7.30 g/cm³
* offset from the most stable computed form: 160 meV/atom
* SG: P4mm, No. 99
* crystal system: tetragonal
* energy: -5.35 eV/atom